First-principles (PBE) data for crystalline Li2SiI at its relaxed geometry, as listed in Alexandria.

```
Li2SiI
1.0
-3.767 3.767 3.135
3.767 -3.767 3.135
3.767 3.767 -3.135
Li Si I
4 2 2
Direct
0.116 0.125 0.491
0.375 0.884 0.009
0.634 0.625 0.509
0.875 0.366 0.991
0.000 0.000 0.000
0.750 0.250 0.500
0.250 0.750 0.500
0.500 0.500 0.000
```

For the uncorrected energy, the calculation gives -2.7590 eV per atom. The calculation puts the uncorrected formation energy at -0.2 eV per formula unit.